{"formula": "BaIrI", "functional": "GGA-PBE", "state": "optimized geometry", "spacegroup": "No. 194", "m_tot_mub_per_atom": 0.000, "e_form_raw_ev_per_atom": -0.2878, "e_above_lowest_polymorph_mev_per_atom": 503.8, "dos_at_fermi_per_ev_fu": 0.851, "lattice_angstrom": [[4.632, 0.000, 0.000], [-2.316, 4.012, 0.000], [0.000, 0.000, 9.405]], "species": ["Ba", "Ba", "Ir", "Ir", "I", "I"], "fractional_positions": [[0.000, 0.000, 0.000], [0.000, 0.000, 0.500], [0.333, 0.667, 0.250], [0.667, 0.333, 0.750], [0.333, 0.667, 0.750], [0.667, 0.333, 0.250]]}